Record 1
Material: Mn2CdTc
Method: DFT, meta-GGA SCAN
State: single point on PBEsol structure

Properties
The total energy is -25.362 eV per atom. As for the energy of formation from the pure elements: 0.134 eV/atom. As for the density: 9.4 g/cm³.

a b c (Å): 2.7814 2.7814 7.3150
angles (deg): 90.00 90.00 90.00
Positions (direct):
Mn 0.0000 0.0000 0.0000
Mn 0.5000 0.5000 0.2172
Cd 0.5000 0.5000 0.7134
Tc 0.0000 0.0000 0.4100


Record 2
Material: Mn2CdTc
Method: DFT, meta-GGA SCAN
State: single point on PBEsol structure

Properties
The total energy is -25.506 eV per atom. As for the energy of formation from the pure elements: -0.010 eV/atom. As for the density: 9.3 g/cm³.

a b c (Å): 2.8796 2.8796 6.9066
angles (deg): 90.00 90.00 90.00
Positions (direct):
Mn 0.0000 0.0000 0.2189
Mn 0.0000 0.0000 0.7811
Cd 0.5000 0.5000 0.5000
Tc 0.5000 0.5000 0.0000


Record 3
Material: MnCd3Tc
Method: DFT, meta-GGA SCAN
State: single point on PBEsol structure

Properties
The total energy is -27.715 eV per atom. As for the energy of formation from the pure elements: 1.196 eV/atom. As for the density: 7.2 g/cm³.

a b c (Å): 4.8404 4.8404 4.8404
angles (deg): 90.00 90.00 90.00
Positions (direct):
Mn 0.0000 0.0000 0.0000
Cd 0.0000 0.0000 0.5000
Cd 0.0000 0.5000 0.0000
Cd 0.5000 0.0000 0.0000
Tc 0.5000 0.5000 0.5000


Record 4
Material: Mn2CdTe
Method: DFT, meta-GGA SCAN
State: single point on PBEsol structure

Properties
As for the uncorrected formation energy: 0.066 eV/atom. The total energy is -25.978 eV per atom. As for the density: 8.1 g/cm³. As for the energy above the most stable polymorph in this dataset: 0 meV/atom.

a b c (Å): 5.0055 5.0055 5.0055
angles (deg): 130.30 129.63 73.47
Positions (direct):
Mn 0.2499 0.2499 0.0000
Mn 0.7501 0.7501 0.0000
Cd 0.5000 0.0000 0.5000
Te 0.0000 0.5000 0.5000


Record 5
Material: Mn2CdTe
Method: DFT, meta-GGA SCAN
State: single point on PBEsol structure

Properties
As for the uncorrected formation energy: 0.339 eV/atom. The total energy is -25.705 eV per atom. As for the density: 7.5 g/cm³. As for the energy above the most stable polymorph in this dataset: 273 meV/atom.

a b c (Å): 4.7765 4.7765 4.7765
angles (deg): 60.00 60.00 60.00
Positions (direct):
Mn 0.0000 0.0000 0.0000
Mn 0.2500 0.2500 0.2500
Cd 0.5000 0.5000 0.5000
Te 0.7500 0.7500 0.7500


Record 6
Material: Mn3CdTe4
Method: DFT, meta-GGA SCAN
State: single point on PBEsol structure

Properties
As for the uncorrected formation energy: -0.534 eV/atom. The total energy is -29.807 eV per atom. As for the density: 5.2 g/cm³.

a b c (Å): 14.7092 14.7092 14.7092
angles (deg): 17.47 17.47 17.47
Positions (direct):
Mn 0.0000 0.0000 0.0000
Mn 0.2514 0.2514 0.2514
Mn 0.5029 0.5029 0.5029
Cd 0.7527 0.7527 0.7527
Te 0.0617 0.0617 0.0617
Te 0.3139 0.3139 0.3139
Te 0.5652 0.5652 0.5652
Te 0.8172 0.8172 0.8172